Material: Ta3Co
Method: DFT, PBE-GGA
State: optimized geometry

Energy of formation (eV per atom): 0.027
Total energy (Ha/atom): -0.3910

Geometry as CIF:
```
data_Ta3Co
_chemical_formula_sum 'Ta18 Co6'
_cell_length_a 5.2427
_cell_length_b 5.2427
_cell_length_c 16.7089
_cell_angle_alpha 90.00
_cell_angle_beta 90.00
_cell_angle_gamma 120.00
_symmetry_space_group_name_H-M 'P 63/m m c'
_symmetry_Int_Tables_number 194
_symmetry_space_group_name_Hall '-P 6c 2c'
loop_
_atom_site_label
_atom_site_fract_x
_atom_site_fract_y
_atom_site_fract_z
Ta1 0.0000 0.0000 0.0874
Ta2 0.1650 0.3300 0.2500
Ta3 0.3333 0.6667 0.1110
Ta4 0.3333 0.6667 0.6481
Co1 0.0000 0.5000 0.0000
```